1.
Material: Dy3Y3Tm5
Method: DFT, PBE
State: optimized geometry

Unit cell a=9.582 b=9.582 c=5.508 alpha=90.00 beta=90.00 gamma=120.00
Atoms (fractional coordinates):
Dy  0.000  0.540  0.000
Dy  0.460  0.460  0.000
Dy  0.540  0.000  0.000
Y  0.000  0.737  0.500
Y  0.263  0.263  0.500
Y  0.737  0.000  0.500
Tm  0.000  0.375  0.500
Tm  0.333  0.667  0.500
Tm  0.375  0.000  0.500
Tm  0.625  0.625  0.500
Tm  0.667  0.333  0.500

Summary:
* E: -0.3107 Ry per atom
* formation energy from the elements: 0.823 eV/atom
* crystal system: hexagonal

2.
Material: Dy8YTm6
Method: DFT, PBE
State: optimized geometry

Unit cell a=8.560 b=8.560 c=8.560 alpha=63.04 beta=63.04 gamma=63.04
Atoms (fractional coordinates):
Dy  0.077  0.077  0.077
Dy  0.220  0.610  0.245
Dy  0.245  0.220  0.610
Dy  0.390  0.755  0.780
Dy  0.610  0.245  0.220
Dy  0.755  0.780  0.390
Dy  0.780  0.390  0.755
Dy  0.923  0.923  0.923
Y  0.500  0.500  0.500
Tm  0.040  0.606  0.734
Tm  0.266  0.960  0.394
Tm  0.394  0.266  0.960
Tm  0.606  0.734  0.040
Tm  0.734  0.040  0.606
Tm  0.960  0.394  0.266

Summary:
* E: -0.3335 Ry per atom
* formation energy from the elements: 0.137 eV/atom
* crystal system: trigonal

3.
Material: DyY4Tm15
Method: DFT, PBE
State: optimized geometry

Unit cell a=4.958 b=4.958 c=24.803 alpha=90.00 beta=90.00 gamma=90.00
Atoms (fractional coordinates):
Dy  0.000  0.000  0.000
Y  0.000  0.000  0.200
Y  0.000  0.000  0.400
Y  0.000  0.000  0.600
Y  0.000  0.000  0.800
Tm  0.000  0.500  0.100
Tm  0.000  0.500  0.300
Tm  0.000  0.500  0.500
Tm  0.000  0.500  0.700
Tm  0.000  0.500  0.900
Tm  0.500  0.000  0.100
Tm  0.500  0.000  0.300
Tm  0.500  0.000  0.500
Tm  0.500  0.000  0.700
Tm  0.500  0.000  0.900
Tm  0.500  0.500  0.000
Tm  0.500  0.500  0.200
Tm  0.500  0.500  0.400
Tm  0.500  0.500  0.600
Tm  0.500  0.500  0.800

Summary:
* E: -0.3563 Ry per atom
* formation energy from the elements: 0.029 eV/atom
* crystal system: tetragonal

4.
Material: Dy5Y2Tm3
Method: DFT, PBE
State: optimized geometry

Unit cell a=9.404 b=9.404 c=9.485 alpha=108.42 beta=108.42 gamma=111.17
Atoms (fractional coordinates):
Dy  0.030  0.970  0.750
Dy  0.125  0.351  0.728
Dy  0.229  0.771  0.750
Dy  0.267  0.733  0.250
Dy  0.351  0.125  0.228
Dy  0.649  0.875  0.772
Dy  0.733  0.267  0.750
Dy  0.771  0.229  0.250
Dy  0.875  0.649  0.272
Dy  0.970  0.030  0.250
Y  0.235  0.479  0.454
Y  0.479  0.235  0.954
Y  0.521  0.765  0.046
Y  0.765  0.521  0.546
Tm  0.036  0.274  0.049
Tm  0.274  0.036  0.549
Tm  0.472  0.528  0.250
Tm  0.528  0.472  0.750
Tm  0.726  0.964  0.451
Tm  0.964  0.726  0.951

Summary:
* E: -0.3477 Ry per atom
* formation energy from the elements: 0.205 eV/atom
* crystal system: monoclinic

5.
Material: Dy4Y2Tm5
Method: DFT, PBE
State: optimized geometry

Unit cell a=8.812 b=8.812 c=6.597 alpha=99.36 beta=99.36 gamma=43.89
Atoms (fractional coordinates):
Dy  0.088  0.088  0.402
Dy  0.255  0.255  0.186
Dy  0.745  0.745  0.814
Dy  0.912  0.912  0.598
Y  0.300  0.300  0.699
Y  0.700  0.700  0.301
Tm  0.152  0.673  0.098
Tm  0.327  0.848  0.902
Tm  0.500  0.500  0.500
Tm  0.673  0.152  0.098
Tm  0.848  0.327  0.902

Summary:
* E: -0.3462 Ry per atom
* formation energy from the elements: 0.171 eV/atom
* crystal system: monoclinic

6.
Material: Dy7Y6Tm16
Method: DFT, PBE
State: optimized geometry

Unit cell a=11.012 b=11.012 c=11.012 alpha=60.00 beta=60.00 gamma=60.00
Atoms (fractional coordinates):
Dy  0.000  0.000  0.000
Dy  0.000  0.000  0.500
Dy  0.000  0.500  0.000
Dy  0.000  0.500  0.500
Dy  0.500  0.000  0.000
Dy  0.500  0.000  0.500
Dy  0.500  0.500  0.000
Y  0.282  0.282  0.718
Y  0.282  0.718  0.282
Y  0.282  0.718  0.718
Y  0.718  0.282  0.282
Y  0.718  0.282  0.718
Y  0.718  0.718  0.282
Tm  0.037  0.654  0.654
Tm  0.123  0.123  0.123
Tm  0.123  0.123  0.632
Tm  0.123  0.632  0.123
Tm  0.346  0.346  0.346
Tm  0.346  0.346  0.963
Tm  0.346  0.963  0.346
Tm  0.368  0.877  0.877
Tm  0.632  0.123  0.123
Tm  0.654  0.037  0.654
Tm  0.654  0.654  0.037
Tm  0.654  0.654  0.654
Tm  0.877  0.368  0.877
Tm  0.877  0.877  0.368
Tm  0.877  0.877  0.877
Tm  0.963  0.346  0.346

Summary:
* E: -0.3434 Ry per atom
* formation energy from the elements: 0.243 eV/atom
* crystal system: cubic

7.
Material: DyYTmZn
Method: DFT, PBE
State: optimized geometry

Unit cell a=3.548 b=3.548 c=8.592 alpha=90.00 beta=90.00 gamma=90.00
Atoms (fractional coordinates):
Dy  0.000  0.000  0.000
Y  0.500  0.500  0.701
Tm  0.500  0.500  0.290
Zn  0.000  0.000  0.490

Summary:
* E: -0.3210 Ry per atom
* formation energy from the elements: -0.164 eV/atom
* crystal system: tetragonal

8.
Material: DyYTmZn
Method: DFT, PBE
State: optimized geometry

Unit cell a=5.312 b=5.312 c=5.312 alpha=60.00 beta=60.00 gamma=60.00
Atoms (fractional coordinates):
Dy  0.000  0.000  0.000
Y  0.500  0.500  0.500
Tm  0.250  0.250  0.250
Zn  0.750  0.750  0.750

Summary:
* E: -0.3063 Ry per atom
* formation energy from the elements: 0.035 eV/atom
* crystal system: cubic

9.
Material: Dy6Y2Tm3Zr
Method: DFT, PBE
State: optimized geometry

Unit cell a=6.060 b=6.060 c=11.578 alpha=94.97 beta=94.97 gamma=119.91
Atoms (fractional coordinates):
Dy  0.082  0.409  0.747
Dy  0.244  0.244  0.254
Dy  0.409  0.082  0.747
Dy  0.591  0.918  0.253
Dy  0.756  0.756  0.746
Dy  0.918  0.591  0.253
Y  0.333  0.667  0.500
Y  0.667  0.333  0.500
Tm  0.167  0.833  0.000
Tm  0.500  0.500  0.000
Tm  0.833  0.167  0.000
Zr  0.000  0.000  0.500

Summary:
* E: -0.3794 Ry per atom
* formation energy from the elements: 0.047 eV/atom
* crystal system: monoclinic

10.
Material: Dy3Y2Tm6Zr
Method: DFT, PBE
State: optimized geometry

Unit cell a=6.039 b=6.039 c=11.532 alpha=94.99 beta=94.99 gamma=119.92
Atoms (fractional coordinates):
Dy  0.000  0.000  0.000
Dy  0.333  0.667  0.000
Dy  0.667  0.333  0.000
Y  0.167  0.833  0.500
Y  0.833  0.167  0.500
Tm  0.093  0.419  0.254
Tm  0.255  0.255  0.745
Tm  0.419  0.093  0.254
Tm  0.581  0.907  0.746
Tm  0.745  0.745  0.255
Tm  0.907  0.581  0.746
Zr  0.500  0.500  0.500

Summary:
* E: -0.3771 Ry per atom
* formation energy from the elements: 0.045 eV/atom
* crystal system: monoclinic

11.
Material: Dy3Y6Tm2Zr
Method: DFT, PBE
State: optimized geometry

Unit cell a=6.085 b=6.085 c=11.642 alpha=94.97 beta=94.97 gamma=119.92
Atoms (fractional coordinates):
Dy  0.000  0.000  0.000
Dy  0.333  0.667  0.000
Dy  0.667  0.333  0.000
Y  0.091  0.419  0.256
Y  0.254  0.254  0.743
Y  0.419  0.091  0.256
Y  0.581  0.909  0.744
Y  0.746  0.746  0.257
Y  0.909  0.581  0.744
Tm  0.167  0.833  0.500
Tm  0.833  0.167  0.500
Zr  0.500  0.500  0.500

Summary:
* E: -0.4257 Ry per atom
* formation energy from the elements: 0.049 eV/atom
* crystal system: monoclinic

12.
Material: Dy6Y3Tm2Zr
Method: DFT, PBE
State: optimized geometry

Unit cell a=6.070 b=6.070 c=11.619 alpha=94.97 beta=94.97 gamma=119.91
Atoms (fractional coordinates):
Dy  0.081  0.409  0.243
Dy  0.246  0.246  0.758
Dy  0.409  0.081  0.243
Dy  0.591  0.919  0.757
Dy  0.754  0.754  0.242
Dy  0.919  0.591  0.757
Y  0.167  0.833  0.500
Y  0.500  0.500  0.500
Y  0.833  0.167  0.500
Tm  0.333  0.667  0.000
Tm  0.667  0.333  0.000
Zr  0.000  0.000  0.000

Summary:
* E: -0.3918 Ry per atom
* formation energy from the elements: 0.044 eV/atom
* crystal system: monoclinic

13.
Material: Dy5TmZn4
Method: DFT, PBE
State: optimized geometry

Unit cell a=3.561 b=3.561 c=19.246 alpha=90.00 beta=90.00 gamma=90.00
Atoms (fractional coordinates):
Dy  0.000  0.000  0.000
Dy  0.000  0.000  0.185
Dy  0.000  0.000  0.370
Dy  0.000  0.000  0.630
Dy  0.000  0.000  0.815
Tm  0.500  0.500  0.500
Zn  0.500  0.500  0.093
Zn  0.500  0.500  0.278
Zn  0.500  0.500  0.722
Zn  0.500  0.500  0.907

Summary:
* E: -0.2591 Ry per atom
* formation energy from the elements: -0.268 eV/atom
* crystal system: tetragonal

14.
Material: DyTm3Zn2
Method: DFT, PBE
State: optimized geometry

Unit cell a=3.521 b=3.521 c=12.042 alpha=90.00 beta=90.00 gamma=90.00
Atoms (fractional coordinates):
Dy  0.000  0.000  0.000
Tm  0.500  0.500  0.210
Tm  0.500  0.500  0.500
Tm  0.500  0.500  0.790
Zn  0.000  0.000  0.356
Zn  0.000  0.000  0.644

Summary:
* E: -0.2687 Ry per atom
* formation energy from the elements: -0.228 eV/atom
* crystal system: tetragonal

15.
Material: Dy2Tm2Zn
Method: DFT, PBE
State: optimized geometry

Unit cell a=11.387 b=11.387 c=11.387 alpha=162.26 beta=162.26 gamma=25.19
Atoms (fractional coordinates):
Dy  0.194  0.194  0.000
Dy  0.806  0.806  0.000
Tm  0.421  0.421  0.000
Tm  0.579  0.579  0.000
Zn  0.000  0.000  0.000

Summary:
* E: -0.2947 Ry per atom
* formation energy from the elements: -0.125 eV/atom
* crystal system: tetragonal

16.
Material: Dy7TmZn4
Method: DFT, PBE
State: optimized geometry

Unit cell a=7.486 b=7.486 c=9.715 alpha=120.47 beta=120.47 gamma=43.13
Atoms (fractional coordinates):
Dy  0.000  0.000  0.000
Dy  0.223  0.223  0.673
Dy  0.290  0.290  0.119
Dy  0.430  0.430  0.597
Dy  0.570  0.570  0.403
Dy  0.710  0.710  0.881
Dy  0.777  0.777  0.327
Tm  0.500  0.500  0.000
Zn  0.044  0.044  0.737
Zn  0.178  0.178  0.338
Zn  0.822  0.822  0.662
Zn  0.956  0.956  0.263

Summary:
* E: -0.2557 Ry per atom
* formation energy from the elements: 0.003 eV/atom
* crystal system: monoclinic

17.
Material: DyTm2Zn2
Method: DFT, PBE
State: optimized geometry

Unit cell a=7.982 b=7.982 c=6.090 alpha=90.00 beta=90.00 gamma=141.76
Atoms (fractional coordinates):
Dy  0.083  0.917  0.500
Dy  0.917  0.083  0.000
Tm  0.301  0.699  0.250
Tm  0.457  0.543  0.656
Tm  0.543  0.457  0.156
Tm  0.699  0.301  0.750
Zn  0.122  0.878  0.990
Zn  0.276  0.724  0.757
Zn  0.724  0.276  0.257
Zn  0.878  0.122  0.490

Summary:
* E: -0.2512 Ry per atom
* formation energy from the elements: -0.200 eV/atom
* crystal system: orthorhombic

18.
Material: DyTm2Zn4
Method: DFT, PBE
State: optimized geometry

Unit cell a=6.021 b=6.021 c=6.021 alpha=109.20 beta=109.20 gamma=110.01
Atoms (fractional coordinates):
Dy  0.000  0.000  0.000
Tm  0.000  0.500  0.500
Tm  0.500  0.000  0.500
Zn  0.000  0.000  0.500
Zn  0.000  0.500  0.000
Zn  0.500  0.000  0.000
Zn  0.500  0.500  0.500

Summary:
* E: -0.2088 Ry per atom
* formation energy from the elements: -0.178 eV/atom
* crystal system: tetragonal

19.
Material: Dy2Tm2Zn
Method: DFT, PBE
State: optimized geometry

Unit cell a=12.467 b=12.467 c=12.467 alpha=157.20 beta=157.20 gamma=32.46
Atoms (fractional coordinates):
Dy  0.051  0.301  0.750
Dy  0.301  0.051  0.250
Dy  0.699  0.949  0.750
Dy  0.949  0.699  0.250
Tm  0.195  0.445  0.750
Tm  0.445  0.195  0.250
Tm  0.555  0.805  0.750
Tm  0.805  0.555  0.250
Zn  0.125  0.875  0.250
Zn  0.875  0.125  0.750

Summary:
* E: -0.2847 Ry per atom
* formation energy from the elements: 0.011 eV/atom
* crystal system: tetragonal

20.
Material: Dy3TmZn
Method: DFT, PBE
State: optimized geometry

Unit cell a=6.604 b=6.604 c=7.678 alpha=107.05 beta=107.05 gamma=66.70
Atoms (fractional coordinates):
Dy  0.061  0.061  0.234
Dy  0.089  0.589  0.351
Dy  0.411  0.911  0.649
Dy  0.589  0.089  0.351
Dy  0.911  0.411  0.649
Dy  0.939  0.939  0.766
Tm  0.439  0.439  0.764
Tm  0.561  0.561  0.236
Zn  0.253  0.253  0.000
Zn  0.747  0.747  0.000

Summary:
* E: -0.2892 Ry per atom
* formation energy from the elements: -0.024 eV/atom
* crystal system: monoclinic